Compound: LaAuI4
Source: the Alexandria database
Functional: PBE-GGA
Structure: relaxed

Results
The density of states at the Fermi level is 0.000 states/eV per cell. As for the symmetry: P2_1/c, No. 14. The polymorph energy (0 for the lowest one) comes out at 0 kJ/mol of formula units. The value obtained for the uncorrected formation energy is -0.96 eV/atom.

Lattice parameters (Å, degrees): 4.603 8.115 15.169 87.27 90.00 90.00
Element x y z (fractional)
La (0.500, 0.500, 0.000)
La (0.000, 0.000, 0.500)
Au (0.500, 0.500, 0.500)
Au (0.000, 0.000, 0.000)
I (0.371, 0.835, 0.104)
I (0.129, 0.335, 0.604)
I (0.629, 0.165, 0.896)
I (0.995, 0.374, 0.133)
I (0.005, 0.626, 0.867)
I (0.505, 0.874, 0.633)
I (0.871, 0.665, 0.396)
I (0.495, 0.126, 0.367)



Compound: La6AuI8
Source: the Alexandria database
Functional: PBE-GGA
Structure: relaxed

Results
The density of states at the Fermi level is 8.747 states/eV per cell. As for the symmetry: R-3, No. 148. The value obtained for the uncorrected formation energy is -1.24 eV/atom.

Lattice parameters (Å, degrees): 7.806 7.806 12.531 71.85 71.85 60.00
Element x y z (fractional)
I (0.452, 0.109, 0.673)
I (0.109, 0.766, 0.673)
I (0.766, 0.452, 0.673)
I (0.548, 0.891, 0.327)
I (0.234, 0.548, 0.327)
I (0.891, 0.234, 0.327)
I (0.667, 0.667, 0.000)
I (0.333, 0.333, 0.000)
La (0.052, 0.366, 0.846)
La (0.634, 0.263, 0.154)
La (0.263, 0.948, 0.154)
La (0.366, 0.737, 0.846)
La (0.737, 0.052, 0.846)
La (0.948, 0.634, 0.154)
Au (0.000, 0.000, 0.000)



> Among the records above, which one has the highest uncorrected formation energy?

LaAuI4



> Which of these has the highest density of states at the Fermi level?

La6AuI8



> The lowest uncorrected formation energy belongs to which entry?

La6AuI8



> The lowest density of states at the Fermi level belongs to which entry?

LaAuI4